Computed, not measured: an optimized crystal structure of TbAg4Hg at the PBE-GGA level of DFT.

For the volume, the calculation gives 20.522 Å³/atom. As for the formation energy: -0.17 eV per atom. As for the symmetry: F-43m (216). The crystal system is cubic.

Structure (extended XYZ):
```
6
Lattice="0.000 3.949 3.949 3.949 0.000 3.949 3.949 3.949 0.000" Properties=species:S:1:pos:R:3 pbc="T T T"
Tb 0.000 0.000 0.000
Ag 4.935 2.962 2.962
Ag 2.962 4.935 2.962
Ag 2.962 2.962 4.935
Ag 4.935 4.935 4.935
Hg 1.974 1.974 1.974
```

Computed, not measured: an optimized crystal structure of ThCl at the PBE-GGA level of DFT.

For the volume, the calculation gives 35.107 Å³/atom. As for the symmetry: P2_1/m (11). The calculation puts the energy relative to the elements, uncorrected at -1.049 eV per atom. The crystal system is monoclinic.

Structure (extended XYZ):
```
4
Lattice="3.629 0.000 0.000 0.000 3.773 0.000 -0.039 0.000 10.257" Properties=species:S:1:pos:R:3 pbc="T T T"
Th 0.888 0.943 3.822
Th 2.703 2.829 6.435
Cl 0.892 2.829 1.753
Cl 2.698 0.943 8.504
```

Computed, not measured: an optimized crystal structure of Ac6Tl5Cd at the PBE-GGA level of DFT.

For the volume, the calculation gives 38.045 Å³/atom. As for the formation energy: -0.21 eV per atom. As for the symmetry: C2/m (12). The value obtained for the energy above the most stable polymorph in this dataset is 0.129 eV/atom. The crystal system is monoclinic.

Structure (extended XYZ):
```
12
Lattice="5.274 -6.175 0.000 5.274 6.175 0.000 -1.610 0.000 7.009" Properties=species:S:1:pos:R:3 pbc="T T T"
Ac 1.413 2.042 5.229
Ac 2.188 0.000 1.721
Ac 1.413 -2.042 5.229
Ac 7.526 2.042 1.780
Ac 6.751 0.000 5.288
Ac 7.526 -2.042 1.780
Tl 5.274 4.020 0.000
Tl 4.469 1.990 3.504
Tl 5.274 0.000 0.000
Tl 4.469 -1.990 3.504
Tl 5.274 -4.020 0.000
Cd -0.805 0.000 3.504
```

Computed, not measured: an optimized crystal structure of SmCoSi2 at the PBE-GGA level of DFT.

For the volume, the calculation gives 16.955 Å³/atom. As for the symmetry: R-3m (166). The calculation puts the energy relative to the elements, uncorrected at -0.763 eV per atom. The crystal system is trigonal.

Structure (extended XYZ):
```
4
Lattice="1.953 1.128 5.131 -1.953 1.128 5.131 0.000 -2.255 5.131" Properties=species:S:1:pos:R:3 pbc="T T T"
Sm 0.000 0.000 0.000
Co 0.000 0.000 7.697
Si 0.000 0.000 3.171
Si 0.000 0.000 12.224
```

Computed, not measured: an optimized crystal structure of TmPaSbN2 at the PBE-GGA level of DFT.

For the volume, the calculation gives 20.146 Å³/atom. As for the symmetry: I4mm (107). The calculation puts the energy relative to the elements, uncorrected at -1.462 eV per atom. The crystal system is tetragonal.

Structure (extended XYZ):
```
5
Lattice="-1.959 1.959 6.560 1.959 -1.959 6.560 1.959 1.959 -6.560" Properties=species:S:1:pos:R:3 pbc="T T T"
Tm 0.000 0.000 0.000
Pa 0.000 0.000 4.453
Sb 0.000 0.000 8.748
N 1.959 0.000 5.418
N 0.000 1.959 5.418
```